# 1
VASP calculation (GGA-PBEsol) on an optimized crystal structure of Ca2LaZr.

total DFT energy (no corrections) = -17.23 eV for the cell shown
energy relative to the elements = 0.37 eV/atom
D(E_F) = 7.134 states/eV/cell
distance to the lowest polymorph of the same formula = 0.72 eV per formula unit
calculated density = 4.1 g/cm3
SG = P4/mmm (123)

Lattice parameters (Å, degrees): 4.8241 4.8241 5.3841 90.00 90.00 90.00
With the nearest neighbours (Å) after each atom.
Fractional coordinates of all 4 atoms:
Ca: 0.0000 0.5000 0.0000  4 Ca 3.41, 4 Zr 3.61, 4 La 3.61
Ca: 0.5000 0.0000 0.0000  4 Ca 3.41, 4 La 3.61, 4 Zr 3.61
Zr: 0.0000 0.0000 0.5000  4 La 3.41, 8 Ca 3.61
La: 0.5000 0.5000 0.5000  4 Zr 3.41, 8 Ca 3.61

***

# 2
VASP calculation (GGA-PBEsol) on an optimized crystal structure of CaLa3Zr.

total DFT energy (no corrections) = -25.33 eV for the cell shown
energy relative to the elements = 0.39 eV/atom
D(E_F) = 7.795 states/eV/cell
calculated density = 4.8 g/cm3
SG = Pm-3m (221)

Lattice parameters (Å, degrees): 5.7497 5.7497 5.7497 90.00 90.00 90.00
With the nearest neighbours (Å) after each atom.
Fractional coordinates of all 5 atoms:
Ca: 0.5000 0.5000 0.5000  12 La 4.07
Zr: 0.0000 0.0000 0.0000  6 La 2.87
La: 0.0000 0.5000 0.0000  2 Zr 2.87
La: 0.0000 0.0000 0.5000  2 Zr 2.87
La: 0.5000 0.0000 0.0000  2 Zr 2.87

***

# 3
VASP calculation (GGA-PBEsol) on an optimized crystal structure of CaLa2Zr.

total DFT energy (no corrections) = -20.97 eV for the cell shown
energy relative to the elements = 0.24 eV/atom
D(E_F) = 5.215 states/eV/cell
distance to the lowest polymorph of the same formula = 0.24 eV per formula unit
calculated density = 5.6 g/cm3
SG = Cmmm (65)

Lattice parameters (Å, degrees): 3.5063 6.0414 6.0414 107.62 90.00 90.00
With the nearest neighbours (Å) after each atom.
Fractional coordinates of all 4 atoms:
Ca: 0.5000 0.5000 0.5000  8 La 3.49, 2 Ca 3.51, 2 Zr 3.57
Zr: 0.5000 0.0000 0.0000  8 La 3.49, 2 Zr 3.51, 2 Ca 3.57
La: 0.0000 0.5000 0.0000  4 Zr 3.49, 4 Ca 3.49, 4 La 3.51-3.57
La: 0.0000 0.0000 0.5000  4 Ca 3.49, 4 Zr 3.49, 4 La 3.51-3.57

***

# 4
VASP calculation (GGA-PBEsol) on an optimized crystal structure of Ca2LaZr.

total DFT energy (no corrections) = -17.28 eV for the cell shown
energy relative to the elements = 0.36 eV/atom
D(E_F) = 6.193 states/eV/cell
distance to the lowest polymorph of the same formula = 0.67 eV per formula unit
calculated density = 4.2 g/cm3
SG = Cmmm (65)

Lattice parameters (Å, degrees): 3.3677 6.3682 6.3682 115.59 90.00 90.00
With the nearest neighbours (Å) after each atom.
Fractional coordinates of all 4 atoms:
Ca: 0.0000 0.5000 0.0000  4 Ca 3.37-3.39, 4 La 3.60, 4 Zr 3.60
Ca: 0.0000 0.0000 0.5000  4 Ca 3.37-3.39, 4 Zr 3.60, 4 La 3.60
Zr: 0.5000 0.5000 0.5000  2 Zr 3.37, 2 La 3.39, 8 Ca 3.60
La: 0.5000 0.0000 0.0000  2 La 3.37, 2 Zr 3.39, 8 Ca 3.60

***

# 5
VASP calculation (GGA-PBEsol) on an optimized crystal structure of CaLa2Zr.

total DFT energy (no corrections) = -20.93 eV for the cell shown
energy relative to the elements = 0.25 eV/atom
D(E_F) = 4.746 states/eV/cell
distance to the lowest polymorph of the same formula = 0.28 eV per formula unit
calculated density = 5.6 g/cm3
SG = P4/mmm (123)

Lattice parameters (Å, degrees): 4.6166 5.1348 5.1348 90.00 90.00 90.00
With the nearest neighbours (Å) after each atom.
Fractional coordinates of all 4 atoms:
Ca: 0.5000 0.0000 0.0000  8 La 3.45, 4 Zr 3.63
Zr: 0.5000 0.5000 0.5000  8 La 3.45, 4 Ca 3.63
La: 0.0000 0.0000 0.5000  4 Zr 3.45, 4 Ca 3.45, 4 La 3.63
La: 0.0000 0.5000 0.0000  4 Zr 3.45, 4 Ca 3.45, 4 La 3.63

***

# 6
VASP calculation (GGA-PBEsol) on an optimized crystal structure of Ca2LaZr.

total DFT energy (no corrections) = -17.95 eV for the cell shown
energy relative to the elements = 0.19 eV/atom
D(E_F) = 4.238 states/eV/cell
distance to the lowest polymorph of the same formula = 0.00 eV per formula unit
calculated density = 4.0 g/cm3
SG = P4mm (99)

Lattice parameters (Å, degrees): 3.4698 3.4698 10.8319 90.00 90.00 90.00
With the nearest neighbours (Å) after each atom.
Fractional coordinates of all 4 atoms:
Ca: 0.0000 0.0000 0.9732  4 Ca 3.47, 4 Zr 3.53
Ca: 0.5000 0.5000 0.2537  4 Ca 3.47
Zr: 0.5000 0.5000 0.7393  4 La 3.31, 4 Zr 3.47, 4 Ca 3.53
La: 0.0000 0.0000 0.5339  4 Zr 3.31, 4 La 3.47

***

# 7
VASP calculation (GGA-PBEsol) on an optimized crystal structure of Li4Ca3.

total DFT energy (no corrections) = -14.19 eV for the cell shown
energy relative to the elements = 0.01 eV/atom
D(E_F) = 6.094 states/eV/cell
calculated density = 1.2 g/cm3
SG = I4/mmm (139)

Lattice parameters (Å, degrees): 3.7918 3.7918 14.3375 97.60 97.60 90.00
With the nearest neighbours (Å) after each atom.
Fractional coordinates of all 7 atoms:
Ca: 0.0000 0.0000 0.0000  10 Li 3.44-3.49, 4 Ca 3.79
Ca: 0.7003 0.7003 0.4007  5 Li 3.44-3.48, 4 Ca 3.79
Ca: 0.2997 0.2997 0.5993  5 Li 3.44-3.48, 4 Ca 3.79
Li: 0.8762 0.8762 0.7525  4 Li 2.99
Li: 0.1238 0.1238 0.2475  4 Li 2.99
Li: 0.5767 0.5767 0.1534  4 Li 2.99
Li: 0.4233 0.4233 0.8466  4 Li 2.99

***

# 8
VASP calculation (GGA-PBEsol) on an optimized crystal structure of Li3Ca.

total DFT energy (no corrections) = -7.79 eV for the cell shown
energy relative to the elements = 0.06 eV/atom
D(E_F) = 2.913 states/eV/cell
distance to the lowest polymorph of the same formula = 0.08 eV per formula unit
calculated density = 1.0 g/cm3
SG = P4/mmm (123)

Lattice parameters (Å, degrees): 4.7260 4.7364 4.7364 90.00 90.00 90.00
With the nearest neighbours (Å) after each atom.
Fractional coordinates of all 4 atoms:
Ca: 0.0000 0.0000 0.0000  12 Li 3.35
Li: 0.5000 0.0000 0.5000  8 Li 3.35, 4 Ca 3.35
Li: 0.5000 0.5000 0.0000  8 Li 3.35, 4 Ca 3.35
Li: 0.0000 0.5000 0.5000  8 Li 3.35, 4 Ca 3.35

***

# 9
VASP calculation (GGA-PBEsol) on an optimized crystal structure of LiCa2.

total DFT energy (no corrections) = -5.55 eV for the cell shown
energy relative to the elements = 0.23 eV/atom
D(E_F) = 2.742 states/eV/cell
distance to the lowest polymorph of the same formula = 0.65 eV per formula unit
calculated density = 1.3 g/cm3
SG = Fm-3m (225)

Lattice parameters (Å, degrees): 5.4406 5.4406 5.4406 60.00 60.00 60.00
With the nearest neighbours (Å) after each atom.
Fractional coordinates of all 3 atoms:
Ca: 0.7500 0.7500 0.7500  4 Li 3.33
Ca: 0.2500 0.2500 0.2500  4 Li 3.33
Li: 0.0000 0.0000 0.0000  8 Ca 3.33

***

# 10
VASP calculation (GGA-PBEsol) on an optimized crystal structure of Li5Ca.

total DFT energy (no corrections) = -11.77 eV for the cell shown
energy relative to the elements = 0.03 eV/atom
D(E_F) = 3.921 states/eV/cell
distance to the lowest polymorph of the same formula = 0.04 eV per formula unit
calculated density = 0.9 g/cm3
SG = Cmmm (65)

Lattice parameters (Å, degrees): 4.7196 4.6130 6.9951 90.00 109.72 90.00
With the nearest neighbours (Å) after each atom.
Fractional coordinates of all 6 atoms:
Ca: 0.5000 0.0000 0.0000  12 Li 3.30-3.34
Li: 0.3168 0.5000 0.6337  4 Li 2.94-2.95
Li: 0.1767 0.0000 0.3534  10 Li 2.95-3.30
Li: 0.0000 0.5000 0.0000  8 Li 3.28-3.37, 4 Ca 3.30
Li: 0.8233 0.0000 0.6466  10 Li 2.95-3.30
Li: 0.6832 0.5000 0.3663  4 Li 2.94-2.95

***

# 11
VASP calculation (GGA-PBEsol) on an optimized crystal structure of Li3Ca.

total DFT energy (no corrections) = -7.85 eV for the cell shown
energy relative to the elements = 0.05 eV/atom
D(E_F) = 3.198 states/eV/cell
distance to the lowest polymorph of the same formula = 0.03 eV per formula unit
calculated density = 1.0 g/cm3
SG = I4/mmm (139)

Lattice parameters (Å, degrees): 4.6290 4.6290 5.7988 113.52 113.52 90.00
With the nearest neighbours (Å) after each atom.
Fractional coordinates of all 4 atoms:
Ca: 0.0000 0.0000 0.0000  12 Li 3.27-3.33
Li: 0.7500 0.2500 0.5000  8 Li 3.27-3.33, 4 Ca 3.33
Li: 0.5000 0.5000 0.0000  4 Ca 3.27, 8 Li 3.33
Li: 0.2500 0.7500 0.5000  8 Li 3.27-3.33, 4 Ca 3.33

***

# 12
VASP calculation (GGA-PBEsol) on an optimized crystal structure of Li5Ca.

total DFT energy (no corrections) = -11.81 eV for the cell shown
energy relative to the elements = 0.03 eV/atom
D(E_F) = 3.671 states/eV/cell
distance to the lowest polymorph of the same formula = 0.00 eV per formula unit
calculated density = 0.9 g/cm3
SG = C2/m (12)

Lattice parameters (Å, degrees): 3.7238 6.0193 7.0252 106.64 90.00 108.02
With the nearest neighbours (Å) after each atom.
Fractional coordinates of all 6 atoms:
Ca: 0.0000 0.0000 0.0000  12 Li 3.31-3.51
Li: 0.6699 0.3398 0.3702  7 Li 2.85-3.06
Li: 0.3301 0.6602 0.6298  7 Li 2.85-3.06
Li: 0.3143 0.6285 0.1866  7 Li 3.02-3.19, 2 Ca 3.37
Li: 0.0000 0.0000 0.5000  8 Li 3.02-3.16
Li: 0.6857 0.3715 0.8134  7 Li 3.02-3.19, 2 Ca 3.37